The following is a DFT calculation (GGA-PBE) of crystalline Mn2Ir2W at its relaxed geometry.

Geometry as POSCAR:
```
Mn2Ir2W
1.0
7.190 0.000 0.000
0.000 7.190 0.000
0.000 0.000 2.681
Mn Ir W
4 4 2
Cartesian
1.214 4.809 1.341
4.809 5.977 1.341
5.977 2.381 1.341
2.381 1.214 1.341
2.668 6.263 0.000
6.263 4.523 0.000
4.523 0.928 0.000
0.928 2.668 0.000
0.000 0.000 0.000
3.595 3.595 0.000
```

## Properties
relative energy among the computed polymorphs: 83.9 meV/atom
DFT formation energy: 0.079 eV/atom
magnetization: 3.9 μB per cell
total energy: -9.72 eV/atom